# 1
{
  "formula": "KPd2Rh",
  "functional": "PBE",
  "state": "optimized geometry",
  "final_energy_ha_per_atom": -0.1515,
  "magnetic_moment_mub_per_cell": 1.4,
  "formation_energy_ev_per_atom": 0.5871,
  "lattice_angstrom": [[2.6789, -2.0383, -3.2823], [0.8000, -4.6302, 0.1610], [-1.9538, -2.8359, -3.2007]],
  "species": ["Pd", "Pd", "Rh", "K"],
  "fractional_positions": [[0.7500, 0.7500, 0.7500], [0.2500, 0.2500, 0.2500], [0.5000, 0.5000, 0.5000], [0.0000, 0.0000, 0.0000]]
}


# 2
{
  "formula": "AgW2Au",
  "functional": "PBE",
  "state": "optimized geometry",
  "final_energy_ha_per_atom": -0.2802,
  "magnetic_moment_mub_per_cell": 0.0,
  "formation_energy_ev_per_atom": 0.3828,
  "lattice_angstrom": [[-2.2870, -1.5028, -0.1608], [1.4697, -2.1432, -0.8724], [1.1520, -2.6602, 8.4758]],
  "species": ["W", "W", "Ag", "Au"],
  "fractional_positions": [[0.5000, 0.5000, 0.2474], [0.0000, 0.0000, 0.9983], [0.0000, 0.0000, 0.4973], [0.5000, 0.5000, 0.7570]]
}


# 3
{
  "formula": "LaTaCo2H8",
  "functional": "PBE",
  "state": "optimized geometry",
  "final_energy_ha_per_atom": -0.1818,
  "magnetic_moment_mub_per_cell": 1.7,
  "lattice_angstrom": [[-2.1979, -2.3639, -2.7923], [1.6213, -3.6843, -1.4189], [-3.0973, -5.2197, 3.5951]],
  "species": ["H", "H", "H", "H", "H", "H", "H", "H", "La", "Ta", "Co", "Co"],
  "fractional_positions": [[0.8091, 0.8091, 0.5728], [0.2761, 0.8910, 0.1999], [0.8910, 0.6329, 0.1999], [0.1909, 0.1909, 0.4272], [0.3671, 0.7239, 0.8001], [0.6329, 0.2761, 0.1999], [0.7239, 0.1090, 0.8001], [0.1090, 0.3671, 0.8001], [0.5000, 0.5000, 0.5000], [0.0000, 0.0000, 0.0000], [0.2724, 0.2724, 0.1827], [0.7276, 0.7276, 0.8173]]
}


# 4
{
  "formula": "Sn6IrRh3",
  "functional": "PBE",
  "state": "optimized geometry",
  "final_energy_ha_per_atom": -0.2133,
  "magnetic_moment_mub_per_cell": 0.0,
  "formation_energy_ev_per_atom": -0.3116,
  "lattice_angstrom": [[-2.6699, 2.5037, 6.1037], [2.9003, -4.9091, 3.2824], [7.1673, 5.1048, 1.3016]],
  "species": ["Sn", "Sn", "Sn", "Sn", "Sn", "Sn", "Sn", "Sn", "Sn", "Sn", "Sn", "Sn", "Rh", "Rh", "Rh", "Rh", "Rh", "Rh", "Ir", "Ir"],
  "fractional_positions": [[0.3416, 0.8487, 0.4212], [0.1592, 0.3527, 0.4303], [0.8416, 0.6513, 0.9212], [0.8408, 0.6473, 0.5697], [0.6592, 0.1473, 0.9303], [0.6907, 0.5096, 0.2455], [0.3408, 0.8527, 0.0697], [0.6584, 0.1513, 0.5788], [0.1907, 0.9904, 0.7455], [0.3093, 0.4904, 0.7545], [0.1584, 0.3487, 0.0788], [0.8093, 0.0096, 0.2545], [0.0000, 0.0000, 0.5000], [0.5000, 0.5000, 0.0000], [0.9709, 0.3300, 0.7475], [0.0291, 0.6700, 0.2525], [0.4709, 0.1700, 0.2475], [0.5291, 0.8300, 0.7525], [0.0000, 0.0000, 0.0000], [0.5000, 0.5000, 0.5000]]
}


# 5
{
  "formula": "AcDyLu2",
  "functional": "PBE",
  "state": "optimized geometry",
  "final_energy_ha_per_atom": -0.1552,
  "magnetic_moment_mub_per_cell": 0.0,
  "formation_energy_ev_per_atom": 0.2144,
  "lattice_angstrom": [[3.5312, 0.0000, 0.0000], [1.7656, 3.0581, 0.0000], [1.7656, 1.0194, 12.5316]],
  "species": ["Lu", "Lu", "Dy", "Ac"],
  "fractional_positions": [[0.0929, 0.0929, 0.7212], [0.9071, 0.9071, 0.2788], [0.5000, 0.5000, 0.5000], [0.0000, 0.0000, 0.0000]]
}


# 6
{
  "formula": "Nb3ZnS",
  "functional": "PBE",
  "state": "optimized geometry",
  "final_energy_ha_per_atom": -0.2547,
  "raw_formation_energy_kj_per_mol_fu": 93,
  "magnetic_moment_mub_per_cell": 0.0,
  "lattice_angstrom": [[4.5785, 0.0000, 0.0000], [0.0000, 4.5785, 0.0000], [0.0000, 0.0000, 4.5785]],
  "species": ["Nb", "Nb", "Nb", "Zn", "S"],
  "fractional_positions": [[0.0000, 0.5000, 0.0000], [0.5000, 0.0000, 0.0000], [0.0000, 0.0000, 0.5000], [0.5000, 0.5000, 0.5000], [0.0000, 0.0000, 0.0000]]
}


# 7
{
  "formula": "NaNd2As4Pd3",
  "functional": "PBE",
  "state": "optimized geometry",
  "final_energy_ha_per_atom": -0.1937,
  "magnetic_moment_mub_per_cell": 0.0,
  "formation_energy_ev_per_atom": -0.7687,
  "lattice_angstrom": [[4.4196, 0.0000, 0.0000], [0.0000, 4.4196, 0.0000], [0.0000, 0.0000, 10.5265]],
  "species": ["As", "As", "As", "As", "Nd", "Nd", "Pd", "Pd", "Pd", "Na"],
  "fractional_positions": [[0.0000, 0.5000, 0.3525], [0.0000, 0.0000, 0.0000], [0.5000, 0.5000, 0.0000], [0.5000, 0.0000, 0.6475], [0.0000, 0.5000, 0.7646], [0.5000, 0.0000, 0.2354], [0.5000, 0.0000, 0.8824], [0.0000, 0.0000, 0.5000], [0.0000, 0.5000, 0.1176], [0.5000, 0.5000, 0.5000]]
}


# 8
{
  "formula": "Li7Ag2Pt3",
  "functional": "PBE",
  "state": "optimized geometry",
  "final_energy_ha_per_atom": -0.1260,
  "magnetic_moment_mub_per_cell": 0.0,
  "formation_energy_ev_per_atom": -0.3280,
  "lattice_angstrom": [[2.7884, 0.0000, 0.0000], [0.0000, 4.5467, -0.9030], [0.0000, 0.6008, 14.9224]],
  "species": ["Li", "Li", "Li", "Li", "Li", "Li", "Li", "Pt", "Pt", "Pt", "Ag", "Ag"],
  "fractional_positions": [[0.0000, 0.5725, 0.1449], [0.5000, 0.8967, 0.7934], [0.0000, 0.4275, 0.8551], [0.0000, 0.0000, 0.0000], [0.0000, 0.7232, 0.4464], [0.0000, 0.2768, 0.5536], [0.5000, 0.1033, 0.2066], [0.5000, 0.5000, 0.0000], [0.5000, 0.3538, 0.7076], [0.5000, 0.6462, 0.2924], [0.0000, 0.8177, 0.6353], [0.0000, 0.1823, 0.3647]]
}